[1]
## SrFe2Pt (PBE-GGA)

Data for an optimized crystal structure of SrFe2Pt.

Cell: 4.307 4.307 5.881 Å, 68.61 68.61 60.01°
Site moments in Bohr magnetons follow the coordinates.
Element x y z (fractional)
Pt: 0.250 0.250 0.250  0.32
Sr: 0.750 0.750 0.750  -0.07
Fe: 0.940 0.940 0.179  2.59
Fe: 0.560 0.560 0.321  2.59

Results
E_tot = -24.73 eV per cell
DFT formation energy = -0.02 eV/atom
Fermi-level density of states = 6.80 states/eV/f.u.

[2]
## SrFe2Pt (PBE-GGA)

Data for an optimized crystal structure of SrFe2Pt.

Cell: 4.085 4.085 4.344 Å, 90.00 90.00 90.00°
Site moments in Bohr magnetons follow the coordinates.
Element x y z (fractional)
Sr: 0.000 0.500 0.500  -0.06
Fe: 0.000 0.000 0.000  2.80
Fe: 0.500 0.500 0.000  2.80
Pt: 0.500 0.000 0.500  0.10

Results
E_tot = -23.05 eV per cell
DFT formation energy = 0.40 eV/atom
Fermi-level density of states = 4.39 states/eV/f.u.

[3]
## Sr2FePt (PBE-GGA)

Data for an optimized crystal structure of Sr2FePt.

Cell: 5.108 5.108 5.108 Å, 60.00 60.00 60.00°
Site moments in Bohr magnetons follow the coordinates.
Element x y z (fractional)
Sr: 0.000 0.000 0.000  -0.05
Sr: 0.250 0.250 0.250  -0.04
Pt: 0.750 0.750 0.750  0.14
Fe: 0.500 0.500 0.500  2.91

Results
E_tot = -16.79 eV per cell
DFT formation energy = 0.27 eV/atom
Fermi-level density of states = 6.25 states/eV/f.u.

[4]
## Sr2FePt (PBE-GGA)

Data for an optimized crystal structure of Sr2FePt.

Cell: 4.359 4.652 6.049 Å, 67.40 90.00 90.00°
Site moments in Bohr magnetons follow the coordinates.
Element x y z (fractional)
Pt: 0.500 0.573 0.729  0.16
Fe: 0.000 0.673 0.529  2.59
Sr: 0.500 0.270 0.335  -0.05
Sr: 0.000 0.984 0.906  -0.06

Results
E_tot = -18.64 eV per cell
DFT formation energy = -0.19 eV/atom
Fermi-level density of states = 5.27 states/eV/f.u.